Record 1
Crystalline BiSbAu3 at its relaxed geometry. Source: Alexandria via LeMat-Bulk, functional GGA-PBE.

The structure belongs to space group Pm-3m (No. 221); the cell edges are 5.221, 5.221 and 5.221 Å and the angles 90.00°, 90.00° and 90.00°. Symmetry generates all atoms from Bi at (0.000, 0.000, 0.000), Sb at (0.500, 0.500, 0.500) and Au at (0.000, 0.500, 0.500).

The total energy comes out at -15.4 eV/cell. Its crystal system is cubic. Its energy above the most stable polymorph in this dataset is 0.476 eV/atom. The calculation puts the raw formation energy at 0.49 eV/atom.

***

Record 2
Crystalline KRbHg4Pt at its relaxed geometry. Source: Alexandria via LeMat-Bulk, functional GGA-PBE.

The structure belongs to space group Cmcm (No. 63); the cell edges are 7.590, 17.731 and 7.602 Å and the angles 90.00°, 90.00° and 90.00°. Symmetry generates all atoms from K at (0.000, 0.112, 0.250), Rb at (0.000, 0.397, 0.250), Hg at (0.000, 0.085, 0.750), Hg at (0.000, 0.397, 0.750), Hg at (0.250, 0.250, 0.000) and Pt at (0.000, 0.240, 0.750).

The total energy comes out at -43.8 eV/cell. Its crystal system is orthorhombic. The calculation puts the energy relative to the elements at -0.23 eV per atom.

***

Record 3
Crystalline Sr3Al2 at its relaxed geometry. Source: Alexandria via LeMat-Bulk, functional GGA-PBE.

The structure belongs to space group Fdd2 (No. 43); the cell edges are 14.165, 25.198 and 4.063 Å and the angles 90.00°, 90.00° and 90.00°. Symmetry generates all atoms from Sr at (0.000, 0.000, 0.000), Sr at (0.091, 0.142, 0.728) and Al at (0.047, 0.275, 0.711).

The total energy comes out at -101.2 eV/cell. Its crystal system is orthorhombic. The calculation puts the energy relative to the elements at -0.02 eV per atom. Its energy above the most stable polymorph in this dataset is 0.108 eV/atom.

***

Record 4
Crystalline TmTiZnPd at its relaxed geometry. Source: Alexandria via LeMat-Bulk, functional GGA-PBE.

The structure belongs to space group F-43m (No. 216); the cell edges are 6.685, 6.685 and 6.685 Å and the angles 90.00°, 90.00° and 90.00°. Symmetry generates all atoms from Tm at (0.000, 0.000, 0.000), Ti at (0.000, 0.000, 0.500), Zn at (0.250, 0.250, 0.750) and Pd at (0.250, 0.250, 0.250).

The total energy comes out at -81.3 eV/cell. Its crystal system is cubic. The calculation puts the energy relative to the elements at -0.37 eV per atom.

***

Record 5
Crystalline Ti6Al6Sn at its relaxed geometry. Source: Alexandria via LeMat-Bulk, functional GGA-PBE.

The structure belongs to space group P6/mmm (No. 191); the cell edges are 5.2545, 5.2545 and 9.4755 Å and the angles 90.00°, 90.00° and 120.00°. Symmetry generates all atoms from Ti at (0.0000, 0.0000, 0.1241), Ti at (0.3333, 0.6667, 0.0000), Ti at (0.3333, 0.6667, 0.5000), Al at (0.0000, 0.5000, 0.2489) and Sn at (0.0000, 0.0000, 0.5000).

The total energy comes out at -76.8 eV/cell. Its crystal system is hexagonal. The calculation puts the energy relative to the elements at -0.23 eV per atom.

***

Record 6
Crystalline BaMnP at its relaxed geometry. Source: Alexandria via LeMat-Bulk, functional GGA-PBE.

The structure belongs to space group I4mm (No. 107); the cell edges are 3.478, 3.478 and 11.628 Å and the angles 90.00°, 90.00° and 90.00°. Symmetry generates all atoms from Ba at (0.000, 0.000, 0.000), Mn at (0.000, 0.000, 0.271) and P at (0.000, 0.000, 0.727).

The total energy comes out at -33.7 eV/cell. Its crystal system is tetragonal. The calculation puts the energy relative to the elements at -0.11 eV per atom.